[1]
Below is MgTa2NiO after structural relaxation, with properties calculated at the GGA+U level.

**Final energy**: -5.664 eV/atom

```
data_MgTa2NiO
_chemical_formula_sum 'Mg1 Ta2 Ni1 O1'
_cell_length_a 4.969
_cell_length_b 4.969
_cell_length_c 3.387
_cell_angle_alpha 90.00
_cell_angle_beta 90.00
_cell_angle_gamma 90.00
_symmetry_space_group_name_H-M 'P 4/m m m'
_symmetry_Int_Tables_number 123
_symmetry_space_group_name_Hall '-P 4 2'
loop_
_atom_site_label
_atom_site_fract_x
_atom_site_fract_y
_atom_site_fract_z
Mg1 0.000 0.000 0.000
Ta1 0.000 0.500 0.500
Ni1 0.500 0.500 0.500
O1 0.500 0.500 0.000
```

---

[2]
Below is Mg2TaNiO6 after structural relaxation, with properties calculated at the GGA+U level.

**Final energy**: -6.926 eV/atom

```
data_Mg2TaNiO6
_chemical_formula_sum 'Mg4 Ta2 Ni2 O12'
_cell_length_a 5.144
_cell_length_b 7.508
_cell_length_c 5.412
_cell_angle_alpha 90.00
_cell_angle_beta 92.52
_cell_angle_gamma 90.00
_symmetry_space_group_name_H-M 'P 1 21/m 1'
_symmetry_Int_Tables_number 11
loop_
_symmetry_equiv_pos_as_xyz
'x,y,z'
'-x,-y,-z'
'-x,y+1/2,-z'
'x,-y+1/2,z'
loop_
_atom_site_label
_atom_site_fract_x
_atom_site_fract_y
_atom_site_fract_z
Mg1 0.011 0.250 0.431
Mg2 0.472 0.250 0.947
Ta1 0.500 0.000 0.500
Ni1 0.000 0.000 0.000
O1 0.136 0.750 0.933
O2 0.192 0.070 0.681
O3 0.317 0.068 0.185
O4 0.363 0.750 0.444
```

---

[3]
Below is MgNi2TeO6 after structural relaxation, with properties calculated at the GGA+U level.

**Final energy**: -5.343 eV/atom

```
data_MgNi2TeO6
_chemical_formula_sum 'Mg2 Ni4 Te2 O12'
_cell_length_a 5.200
_cell_length_b 5.300
_cell_length_c 9.324
_cell_angle_alpha 90.00
_cell_angle_beta 123.09
_cell_angle_gamma 90.00
_symmetry_space_group_name_H-M 'P 1 21/c 1'
_symmetry_Int_Tables_number 14
loop_
_symmetry_equiv_pos_as_xyz
'x,y,z'
'-x,-y,-z'
'-x,y+1/2,-z+1/2'
'x,-y+1/2,z+1/2'
loop_
_atom_site_label
_atom_site_fract_x
_atom_site_fract_y
_atom_site_fract_z
Mg1 0.000 0.000 0.000
Ni1 0.202 0.044 0.706
Te1 0.500 0.000 0.500
O1 0.147 0.180 0.467
O2 0.216 0.712 0.394
O3 0.412 0.105 0.277
```

---

[4]
Below is MgNiTe2O after structural relaxation, with properties calculated at the GGA+U level.

**Final energy**: -2.522 eV/atom

```
data_MgNiTe2O
_chemical_formula_sum 'Mg1 Ni1 Te2 O1'
_cell_length_a 4.828
_cell_length_b 4.828
_cell_length_c 4.875
_cell_angle_alpha 90.00
_cell_angle_beta 90.00
_cell_angle_gamma 90.00
_symmetry_space_group_name_H-M 'P 4/m m m'
_symmetry_Int_Tables_number 123
_symmetry_space_group_name_Hall '-P 4 2'
loop_
_atom_site_label
_atom_site_fract_x
_atom_site_fract_y
_atom_site_fract_z
Mg1 0.000 0.000 0.000
Ni1 0.000 0.000 0.500
Te1 0.000 0.500 0.500
O1 0.500 0.500 0.000
```

---

[5]
Below is Mg2NiTeO6 after structural relaxation, with properties calculated at the GGA+U level.

**Final energy**: -5.213 eV/atom

```
data_Mg2NiTeO6
_chemical_formula_sum 'Mg2 Ni1 Te1 O6'
_cell_length_a 5.250
_cell_length_b 5.250
_cell_length_c 4.761
_cell_angle_alpha 90.00
_cell_angle_beta 90.00
_cell_angle_gamma 90.00
_symmetry_space_group_name_H-M 'P 4 m m'
_symmetry_Int_Tables_number 99
loop_
_symmetry_equiv_pos_as_xyz
'x,y,z'
'-y,x,z'
'-x,-y,z'
'y,-x,z'
'-x,y,z'
'y,x,z'
'x,-y,z'
'-y,-x,z'
loop_
_atom_site_label
_atom_site_fract_x
_atom_site_fract_y
_atom_site_fract_z
Mg1 0.000 0.500 0.000
Ni1 0.000 0.000 0.624
Te1 0.500 0.500 0.644
O1 0.000 0.000 0.219
O2 0.257 0.257 0.782
O3 0.500 0.500 0.255
```

---

[6]
Below is MgNiTeO6 after structural relaxation, with properties calculated at the GGA+U level.

**Final energy**: -5.233 eV/atom

```
data_MgNiTeO6
_chemical_formula_sum 'Mg2 Ni2 Te2 O12'
_cell_length_a 4.662
_cell_length_b 4.662
_cell_length_c 9.200
_cell_angle_alpha 90.00
_cell_angle_beta 90.00
_cell_angle_gamma 90.00
_symmetry_space_group_name_H-M 'P 42 n m'
_symmetry_Int_Tables_number 102
loop_
_symmetry_equiv_pos_as_xyz
'x,y,z'
'-y+1/2,x+1/2,z+1/2'
'-x,-y,z'
'y+1/2,-x+1/2,z+1/2'
'-x+1/2,y+1/2,z+1/2'
'y,x,z'
'x+1/2,-y+1/2,z+1/2'
'-y,-x,z'
loop_
_atom_site_label
_atom_site_fract_x
_atom_site_fract_y
_atom_site_fract_z
Mg1 0.000 0.000 0.000
Ni1 0.000 0.000 0.330
Te1 0.000 0.000 0.664
O1 0.189 0.189 0.502
O2 0.199 0.199 0.822
O3 0.205 0.205 0.169
```

---

[7]
Below is MgNiTe2O6 after structural relaxation, with properties calculated at the GGA+U level.

**Final energy**: -5.324 eV/atom

```
data_MgNiTe2O6
_chemical_formula_sum 'Mg4 Ni4 Te8 O24'
_cell_length_a 9.430
_cell_length_b 10.663
_cell_length_c 5.099
_cell_angle_alpha 90.00
_cell_angle_beta 95.22
_cell_angle_gamma 90.00
_symmetry_space_group_name_H-M 'C 1 2/c 1'
_symmetry_Int_Tables_number 15
loop_
_symmetry_equiv_pos_as_xyz
'x,y,z'
'-x,-y,-z'
'-x,y,-z+1/2'
'x,-y,z+1/2'
'x+1/2,y+1/2,z'
'-x+1/2,-y+1/2,-z'
'-x+1/2,y+1/2,-z+1/2'
'x+1/2,-y+1/2,z+1/2'
loop_
_atom_site_label
_atom_site_fract_x
_atom_site_fract_y
_atom_site_fract_z
Mg1 0.000 0.231 0.250
Ni1 0.000 0.077 0.750
Te1 0.185 0.378 0.707
O1 0.096 0.363 0.025
O2 0.121 0.084 0.115
O3 0.140 0.203 0.596
```

---

[8]
Below is Mg6TiNiO8 after structural relaxation, with properties calculated at the GGA+U level.

**Distance to the lowest polymorph of the same formula**: 0 meV per atom
**Final energy**: -6.146 eV/atom

```
data_Mg6TiNiO8
_chemical_formula_sum 'Mg6 Ti1 Ni1 O8'
_cell_length_a 4.219
_cell_length_b 4.219
_cell_length_c 8.884
_cell_angle_alpha 90.00
_cell_angle_beta 90.00
_cell_angle_gamma 90.00
_symmetry_space_group_name_H-M 'P 4/m m m'
_symmetry_Int_Tables_number 123
_symmetry_space_group_name_Hall '-P 4 2'
loop_
_atom_site_label
_atom_site_fract_x
_atom_site_fract_y
_atom_site_fract_z
Mg1 0.000 0.000 0.000
Mg2 0.000 0.000 0.500
Mg3 0.000 0.500 0.236
Ti1 0.500 0.500 0.500
Ni1 0.500 0.500 0.000
O1 0.000 0.000 0.250
O2 0.000 0.500 0.000
O3 0.000 0.500 0.500
O4 0.500 0.500 0.276
```

---

What did the seventh record say?
Below is MgNiTe2O6 after structural relaxation, with properties calculated at the GGA+U level.

**Final energy**: -5.324 eV/atom

```
data_MgNiTe2O6
_chemical_formula_sum 'Mg4 Ni4 Te8 O24'
_cell_length_a 9.430
_cell_length_b 10.663
_cell_length_c 5.099
_cell_angle_alpha 90.00
_cell_angle_beta 95.22
_cell_angle_gamma 90.00
_symmetry_space_group_name_H-M 'C 1 2/c 1'
_symmetry_Int_Tables_number 15
loop_
_symmetry_equiv_pos_as_xyz
'x,y,z'
'-x,-y,-z'
'-x,y,-z+1/2'
'x,-y,z+1/2'
'x+1/2,y+1/2,z'
'-x+1/2,-y+1/2,-z'
'-x+1/2,y+1/2,-z+1/2'
'x+1/2,-y+1/2,z+1/2'
loop_
_atom_site_label
_atom_site_fract_x
_atom_site_fract_y
_atom_site_fract_z
Mg1 0.000 0.231 0.250
Ni1 0.000 0.077 0.750
Te1 0.185 0.378 0.707
O1 0.096 0.363 0.025
O2 0.121 0.084 0.115
O3 0.140 0.203 0.596
```

---

Among the records above, which one has the highest final energy?
MgNiTe2O

---

What is the final energy in the fourth record?
-2.522 eV/atom